Model w:
Ac3HgO | GGA-PBE | relaxed

```
Ac3HgO
1.0
-2.245 -4.766 0.560
4.731 -2.302 -0.629
0.809 0.233 5.231
O Ac Hg
1 3 1
Direct
0.000 0.000 0.000
0.000 0.000 0.500
0.000 0.500 0.000
0.500 0.000 0.000
0.500 0.500 0.500
```

=====

Model x:
Ac3HgO | GGA-PBE | relaxed

```
Ac3HgO
1.0
5.576 -0.023 0.061
0.061 7.719 2.024
-0.036 0.022 7.979
Ac O Hg
6 2 2
Direct
0.499 0.345 0.783
0.985 0.559 0.999
0.495 0.867 0.709
0.990 0.038 0.074
0.495 0.269 0.306
0.990 0.635 0.477
0.742 0.612 0.731
0.742 0.292 0.051
0.492 0.747 0.186
0.992 0.158 0.596
```

=====

Compare the structures above. Which one is the least stable? model w is.